The following is a DFT calculation (PBE) of a relaxed KLi2AsO4 crystal.

```
KLi2AsO4
1.0
5.369 0.000 0.000
0.000 5.369 0.000
0.000 0.000 7.249
K Li As O
2 4 2 8
Cartesian
0.000 0.000 0.000 K
2.684 2.684 3.624 K
0.000 2.684 1.812 Li
0.000 2.684 5.437 Li
2.684 0.000 1.812 Li
2.684 0.000 5.437 Li
0.000 0.000 3.624 As
2.684 2.684 0.000 As
0.988 0.988 2.604 O
0.988 4.380 4.645 O
1.696 1.696 6.229 O
1.696 3.673 1.020 O
3.673 1.696 1.020 O
3.673 3.673 6.229 O
4.380 0.988 4.645 O
4.380 4.380 2.604 O
```

Output
Density   3.1 g cm⁻³
Raw total energy   -87.8 eV per cell